(A)
The following is a DFT calculation (PBE) of crystalline KZn2Ir at its relaxed geometry.

a = 2.7959 Å, b = 5.7981 Å, c = 11.1561 Å
α = 90.00°, β = 90.00°, γ = 90.00°
Last column: nearest neighbours and their distance in Å.
Space group Immm (No. 71)
Unique sites:
K  0.0000  0.0000  0.0000 [2 per cell]  2 K 2.80
Zn  0.0000  0.5000  0.1898 [4 per cell]  2 Ir 2.54, 2 Zn 2.80
Ir  0.0000  0.0000  0.5000 [2 per cell]  4 Zn 2.54, 2 Ir 2.80

(B)
The following is a DFT calculation (PBE) of crystalline KZn2Ir at its relaxed geometry.

a = 3.4216 Å, b = 3.4216 Å, c = 7.7350 Å
α = 90.00°, β = 90.00°, γ = 90.00°
Last column: nearest neighbours and their distance in Å.
Space group P4mm (No. 99)
Unique sites:
K  0.0000  0.0000  0.0000 [1 per cell]  5 Zn 3.25-3.59, 4 K 3.42, 4 Ir 3.53
Zn  0.0000  0.0000  0.5798 [1 per cell]  4 Ir 2.51
Zn  0.5000  0.5000  0.3431 [1 per cell]  1 Ir 2.50
Ir  0.5000  0.5000  0.6668 [1 per cell]  5 Zn 2.50-2.51

(C)
The following is a DFT calculation (PBE) of crystalline KZn2Ir at its relaxed geometry.

a = 2.6666 Å, b = 5.1257 Å, c = 5.7140 Å
α = 90.00°, β = 90.00°, γ = 90.00°
Last column: nearest neighbours and their distance in Å.
Space group Pmmm (No. 47)
Unique sites:
K  0.0000  0.0000  0.0000 [1 per cell]  2 K 2.67, 4 Zn 2.89
Zn  0.0000  0.5000  0.5000 [1 per cell]  2 Zn 2.67, 4 Ir 2.89
Zn  0.5000  0.5000  0.0000 [1 per cell]  2 Zn 2.67, 4 K 2.89
Ir  0.5000  0.0000  0.5000 [1 per cell]  2 Ir 2.67, 4 Zn 2.89

(D)
The following is a DFT calculation (PBE) of crystalline KZn2Ir at its relaxed geometry.

a = 2.9499 Å, b = 4.1651 Å, c = 7.5162 Å
α = 90.00°, β = 90.12°, γ = 90.00°
Last column: nearest neighbours and their distance in Å.
Space group Pm (No. 6)
Unique sites:
K  0.0000  0.0000  0.0000 [1 per cell]  2 K 2.95, 1 Zn 3.29
Zn  0.5084  0.5000  0.3459 [1 per cell]  2 Ir 2.55
Zn  0.5095  0.0000  0.6063 [1 per cell]  4 Ir 2.55-2.56, 2 Zn 2.86
Ir  0.0098  0.5000  0.6223 [1 per cell]  6 Zn 2.55-2.56

Most stable one: (D), least stable one: (C).

(A)
The following is a DFT calculation (PBE) of crystalline KZn2Ir at its relaxed geometry.

a = 3.0011 Å, b = 4.8202 Å, c = 10.0110 Å
α = 90.00°, β = 90.00°, γ = 90.00°
Last column: nearest neighbours and their distance in Å.
Space group Cmm2 (No. 35)
Unique sites:
K  0.0000  0.0000  0.0000 [2 per cell]  6 K 2.84-3.00, 2 Ir 3.09
Zn  0.0000  0.0000  0.4774 [2 per cell]  2 Ir 2.56, 6 Zn 2.68-2.84
Zn  0.0000  0.5000  0.6996 [2 per cell]  8 Zn 2.68-3.00
Ir  0.0000  0.5000  0.2698 [2 per cell]  2 Zn 2.56, 4 Ir 2.84

(B)
The following is a DFT calculation (PBE) of crystalline KZn2Ir at its relaxed geometry.

a = 7.5465 Å, b = 4.3539 Å, c = 6.4608 Å
α = 90.00°, β = 112.73°, γ = 90.00°
Last column: nearest neighbours and their distance in Å.
Space group C2/m (No. 12)
Unique sites:
K  0.0000  0.0000  0.0000 [2 per cell]  8 Zn 3.37-3.61
Zn  0.1883  0.0000  0.5655 [4 per cell]  3 Ir 2.54-2.55, 3 Zn 2.63
Ir  0.0000  0.5000  0.5000 [2 per cell]  6 Zn 2.54-2.55

Most stable one: (B), least stable one: (A).

(A)
The following is a DFT calculation (PBE) of crystalline KZn2Ir at its relaxed geometry.

a = 12.1901 Å, b = 2.8211 Å, c = 8.7598 Å
α = 90.00°, β = 133.86°, γ = 90.00°
Last column: nearest neighbours and their distance in Å.
Space group Cm (No. 8)
Unique sites:
K  0.0000  0.0000  0.0000 [2 per cell]  2 K 2.82, 1 Ir 3.12
Zn  0.0858  0.0000  0.6710 [2 per cell]  2 Ir 2.52, 2 Zn 2.57
Zn  0.4150  0.0000  0.3313 [2 per cell]  2 Ir 2.52, 2 Zn 2.57
Ir  0.2450  0.5000  0.0011 [2 per cell]  4 Zn 2.52

(B)
The following is a DFT calculation (PBE) of crystalline KZn2Ir at its relaxed geometry.

a = 4.1560 Å, b = 4.1560 Å, c = 8.6887 Å
α = 90.00°, β = 90.00°, γ = 90.00°
Last column: nearest neighbours and their distance in Å.
Space group I-4m2 (No. 119)
Unique sites:
K  0.0000  0.0000  0.0000 [2 per cell]  8 Zn 2.94-3.01, 4 Ir 3.01
Zn  0.0000  0.0000  0.5000 [2 per cell]  4 K 2.94, 4 Ir 3.01, 4 Zn 3.01
Zn  0.0000  0.5000  0.7500 [2 per cell]  4 Ir 2.94, 4 K 3.01, 4 Zn 3.01
Ir  0.0000  0.5000  0.2500 [2 per cell]  8 Zn 2.94-3.01, 4 K 3.01

(C)
The following is a DFT calculation (PBE) of crystalline KZn2Ir at its relaxed geometry.

a = 2.9323 Å, b = 2.9323 Å, c = 29.9260 Å
α = 90.00°, β = 90.00°, γ = 120.00°
Last column: nearest neighbours and their distance in Å.
Space group R-3m (No. 166, hexagonal axes)
Unique sites:
K  0.0000  0.0000  0.0000 [3 per cell]  6 K 2.93
Zn  0.0000  0.0000  0.2350 [6 per cell]  3 Ir 2.66, 6 Zn 2.93
Ir  0.0000  0.0000  0.5000 [3 per cell]  6 Zn 2.66, 6 Ir 2.93

Most stable one: (A), least stable one: (B).

(A)
The following is a DFT calculation (PBE) of crystalline K2Zn2Ir at its relaxed geometry.

a = 6.8559 Å, b = 6.8559 Å, c = 5.6594 Å
α = 90.00°, β = 90.00°, γ = 90.00°
Last column: nearest neighbours and their distance in Å.
Space group P4/mbm (No. 127)
Unique sites:
K  0.1726  0.3274  0.0000 [4 per cell]  2 Zn 3.14, 1 K 3.35
Zn  0.1881  0.6881  0.5000 [4 per cell]  2 Ir 2.50
Ir  0.0000  0.0000  0.5000 [2 per cell]  4 Zn 2.50

(B)
The following is a DFT calculation (PBE) of crystalline K2Zn2Ir at its relaxed geometry.

a = 3.9771 Å, b = 3.9771 Å, c = 14.4742 Å
α = 90.00°, β = 90.00°, γ = 90.00°
Last column: nearest neighbours and their distance in Å.
Space group I4/mmm (No. 139)
Unique sites:
K  0.0000  0.5000  0.2500 [4 per cell]  4 K 2.81
Zn  0.0000  0.0000  0.0795 [4 per cell]  1 Zn 2.30
Ir  0.0000  0.0000  0.5000 [2 per cell]  8 Zn 3.04

Most stable one: (A), least stable one: (B).

(A)
The following is a DFT calculation (PBE) of crystalline KZrIr2 at its relaxed geometry.

a = 6.7359 Å, b = 6.7359 Å, c = 6.7359 Å
α = 90.00°, β = 90.00°, γ = 90.00°
Last column: nearest neighbours and their distance in Å.
Space group Fm-3m (No. 225)
Unique sites:
K  0.0000  0.0000  0.0000 [4 per cell]  8 Ir 2.92
Zr  0.0000  0.0000  0.5000 [4 per cell]  8 Ir 2.92
Ir  0.2500  0.2500  0.2500 [8 per cell]  4 Zr 2.92, 4 K 2.92

(B)
The following is a DFT calculation (PBE) of crystalline KZrIr2 at its relaxed geometry.

a = 2.8243 Å, b = 5.1967 Å, c = 11.1717 Å
α = 90.00°, β = 90.00°, γ = 90.00°
Last column: nearest neighbours and their distance in Å.
Space group Imm2 (No. 44)
Unique sites:
K  0.0000  0.0000  0.0000 [2 per cell]  2 K 2.82, 4 Ir 2.97
Zr  0.0000  0.5000  0.8031 [2 per cell]  2 Zr 2.82, 6 Ir 2.86-3.10
Ir  0.0000  0.0000  0.5259 [2 per cell]  4 Ir 2.59-2.82, 2 Zr 2.86
Ir  0.0000  0.5000  0.2199 [2 per cell]  4 Ir 2.59-2.82

Most stable one: (B), least stable one: (A).

(A)
The following is a DFT calculation (PBE) of crystalline KZrIr at its relaxed geometry.

a = 6.5227 Å, b = 6.5227 Å, c = 6.5227 Å
α = 90.00°, β = 90.00°, γ = 90.00°
Last column: nearest neighbours and their distance in Å.
Space group F-43m (No. 216)
Unique sites:
K  0.0000  0.0000  0.0000 [4 per cell]  4 Zr 2.82, 4 Ir 2.82
Zr  0.2500  0.2500  0.2500 [4 per cell]  4 K 2.82
Ir  0.2500  0.2500  0.7500 [4 per cell]  4 K 2.82

(B)
The following is a DFT calculation (PBE) of crystalline KZrIr at its relaxed geometry.

a = 4.8430 Å, b = 4.8430 Å, c = 3.0720 Å
α = 90.00°, β = 90.00°, γ = 120.00°
Last column: nearest neighbours and their distance in Å.
Space group P3m1 (No. 156)
Unique sites:
K  0.0000  0.0000  0.0000 [1 per cell]  3 Zr 3.00, 3 Ir 3.02, 2 K 3.07
Zr  0.6667  0.3333  0.3504 [1 per cell]  3 Ir 2.92, 3 K 3.00, 2 Zr 3.07
Ir  0.3333  0.6667  0.6275 [1 per cell]  3 Zr 2.92, 3 K 3.02, 2 Ir 3.07

Most stable one: (B), least stable one: (A).

(A)
The following is a DFT calculation (PBE) of crystalline KZrIr at its relaxed geometry.

a = 6.6855 Å, b = 6.6855 Å, c = 6.6855 Å
α = 90.00°, β = 90.00°, γ = 90.00°
Last column: nearest neighbours and their distance in Å.
Space group F-43m (No. 216)
Unique sites:
K  0.0000  0.0000  0.0000 [4 per cell]  4 Ir 2.89
Zr  0.0000  0.0000  0.5000 [4 per cell]  4 Ir 2.89
Ir  0.2500  0.2500  0.7500 [4 per cell]  4 Zr 2.89, 4 K 2.89

(B)
The following is a DFT calculation (PBE) of crystalline KZrIr at its relaxed geometry.

a = 3.7163 Å, b = 3.7163 Å, c = 7.6053 Å
α = 90.00°, β = 90.00°, γ = 120.00°
Last column: nearest neighbours and their distance in Å.
Space group P3m1 (No. 156)
Unique sites:
K  0.0000  0.0000  0.0000 [1 per cell]  3 Ir 3.36, 6 K 3.72
Zr  0.6667  0.3333  0.4785 [1 per cell]  3 Ir 2.55
Ir  0.3333  0.6667  0.6604 [1 per cell]  3 Zr 2.55

(C)
The following is a DFT calculation (PBE) of crystalline KZrIr at its relaxed geometry.

a = 3.3706 Å, b = 3.3706 Å, c = 14.7379 Å
α = 90.00°, β = 90.00°, γ = 90.00°
Last column: nearest neighbours and their distance in Å.
Space group I4mm (No. 107)
Unique sites:
K  0.0000  0.0000  0.0000 [2 per cell]  4 K 3.37, 4 Ir 3.50
Zr  0.0000  0.0000  0.2563 [2 per cell]  4 Ir 2.68
Ir  0.0000  0.0000  0.6736 [2 per cell]  4 Zr 2.68

Most stable one: (C), least stable one: (A).

(A)
The following is a DFT calculation (PBE) of crystalline KZrIr3 at its relaxed geometry.

a = 5.0074 Å, b = 5.0074 Å, c = 5.0074 Å
α = 90.00°, β = 90.00°, γ = 90.00°
Last column: nearest neighbours and their distance in Å.
Space group Pm-3m (No. 221)
Unique sites:
K  0.0000  0.0000  0.0000 [1 per cell]  12 Ir 3.54
Zr  0.5000  0.5000  0.5000 [1 per cell]  6 Ir 2.50
Ir  0.0000  0.5000  0.5000 [3 per cell]  2 Zr 2.50

(B)
The following is a DFT calculation (PBE) of crystalline KZrIr3 at its relaxed geometry.

a = 4.6453 Å, b = 4.6453 Å, c = 4.6453 Å
α = 90.00°, β = 90.00°, γ = 90.00°
Last column: nearest neighbours and their distance in Å.
Space group Pm-3m (No. 221)
Unique sites:
K  0.0000  0.0000  0.0000 [1 per cell]  6 Ir 2.32
Zr  0.5000  0.5000  0.5000 [1 per cell]  12 Ir 3.28
Ir  0.0000  0.0000  0.5000 [3 per cell]  2 K 2.32

Most stable one: (A), least stable one: (B).

(A)
The following is a DFT calculation (PBE) of crystalline La5Ir4 at its relaxed geometry.

a = 8.5543 Å, b = 8.5543 Å, c = 7.3072 Å
α = 90.00°, β = 90.00°, γ = 120.00°
Last column: nearest neighbours and their distance in Å.
Space group P6_3/mcm (No. 193)
Unique sites:
La  0.0000  0.2575  0.2500 [6 per cell]  5 Ir 2.86-3.03
La  0.3333  0.6667  0.0000 [4 per cell]  6 Ir 3.18
Ir  0.0000  0.0000  0.0000 [2 per cell]  6 La 2.86
Ir  0.0000  0.4041  0.7500 [6 per cell]  7 La 2.89-3.18

(B)
The following is a DFT calculation (PBE) of crystalline La5Ir4 at its relaxed geometry.

a = 8.8908 Å, b = 8.8908 Å, c = 5.5120 Å
α = 90.00°, β = 90.00°, γ = 90.00°
Last column: nearest neighbours and their distance in Å.
Space group I4/mmm (No. 139)
Unique sites:
La  0.0000  0.0000  0.0000 [2 per cell]  4 Ir 3.10
La  0.1930  0.1930  0.5000 [8 per cell]  2 Ir 2.75
Ir  0.0000  0.3484  0.0000 [8 per cell]  1 Ir 2.70, 2 La 2.75

Most stable one: (A), least stable one: (B).

(A)
The following is a DFT calculation (PBE) of crystalline La4Ir at its relaxed geometry.

a = 7.8157 Å, b = 6.6099 Å, c = 8.0486 Å
α = 90.00°, β = 120.99°, γ = 90.00°
Last column: nearest neighbours and their distance in Å.
Space group P2_1/c (No. 14)
Unique sites:
La  0.1591  0.2375  0.3289 [4 per cell]  1 Ir 2.87
La  0.3192  0.7498  0.1593 [4 per cell]  2 Ir 2.87
Ir  0.5000  0.0000  0.0000 [2 per cell]  6 La 2.87

(B)
The following is a DFT calculation (PBE) of crystalline La4Ir at its relaxed geometry.

a = 6.9659 Å, b = 6.9659 Å, c = 6.9659 Å
α = 90.00°, β = 90.00°, γ = 90.00°
Last column: nearest neighbours and their distance in Å.
Space group Im-3m (No. 229)
Unique sites:
La  0.2500  0.2500  0.2500 [8 per cell]  2 Ir 3.02
Ir  0.0000  0.0000  0.0000 [2 per cell]  8 La 3.02

(C)
The following is a DFT calculation (PBE) of crystalline La4Ir at its relaxed geometry.

a = 5.7168 Å, b = 5.7168 Å, c = 5.7168 Å
α = 90.00°, β = 90.00°, γ = 90.00°
Last column: nearest neighbours and their distance in Å.
Space group Pm-3m (No. 221)
Unique sites:
La  0.0000  0.0000  0.0000 [1 per cell]  12 La 4.04
La  0.0000  0.5000  0.5000 [3 per cell]  2 Ir 2.86
Ir  0.5000  0.5000  0.5000 [1 per cell]  6 La 2.86

Most stable one: (A), least stable one: (B).

(A)
The following is a DFT calculation (PBE) of crystalline La5Ir3 at its relaxed geometry.

a = 7.7810 Å, b = 12.0187 Å, c = 4.6141 Å
α = 90.00°, β = 90.00°, γ = 90.00°
Last column: nearest neighbours and their distance in Å.
Space group Cmmm (No. 65)
Unique sites:
La  0.0000  0.0000  0.0000 [2 per cell]  4 Ir 3.11, 4 La 3.24
La  0.2082  0.5000  0.5000 [4 per cell]  4 Ir 2.82-3.09
La  0.2500  0.2500  0.0000 [4 per cell]  4 Ir 3.15
Ir  0.0000  0.1741  0.5000 [4 per cell]  8 La 3.09-3.15
Ir  0.0000  0.5000  0.0000 [2 per cell]  4 La 2.82

(B)
The following is a DFT calculation (PBE) of crystalline La5Ir3 at its relaxed geometry.

a = 11.4402 Å, b = 11.4402 Å, c = 6.6445 Å
α = 90.00°, β = 90.00°, γ = 90.00°
Last column: nearest neighbours and their distance in Å.
Space group P4/ncc (No. 130, origin choice 2)
Unique sites:
La  0.0429  0.1577  0.1081 [16 per cell]  4 Ir 2.95-3.13
La  0.2500  0.7500  0.0000 [4 per cell]  4 Ir 2.99, 2 La 3.32
Ir  0.0960  0.5960  0.7500 [8 per cell]  6 La 2.95-3.11
Ir  0.2500  0.2500  0.3720 [4 per cell]  8 La 3.03-3.13, 2 Ir 3.32

Most stable one: (B), least stable one: (A).